DyIn2ReO8 | PBE | relaxed

* VASP energy: -7.1027 eV/atom
* energy relative to the elements, uncorrected: -185 kJ per mole of atoms
* theoretical density: 7.2 Mg/m³

a b c (Å): 4.9675 4.9605 6.5878
angles (deg): 90.00 90.00 91.20
Atoms (fractional coordinates):
Dy1 0.0000 0.0000 0.5000
In1 0.5000 0.5000 0.7497
In2 0.5000 0.5000 0.2503
Re1 0.0000 0.0000 0.0000
O1 0.1819 0.8165 0.2074
O2 0.7172 0.7187 0.0000
O3 0.8181 0.1835 0.2074
O4 0.8181 0.1835 0.7926
O5 0.2828 0.2813 0.0000
O6 0.1819 0.8165 0.7926
O7 0.6901 0.6921 0.5000
O8 0.3099 0.3079 0.5000